Record 1
Density functional theory data (PBE-GGA) for a geometry-optimized Tm3NiB7 structure.

energy of formation from the pure elements = -0.5734 eV/atom
total moment = 0.00 μB/cell

Cell: 3.3836 15.5190 9.2649 Å, 90.00 90.00 90.00°
Space group Cmcm (No. 63)
Inequivalent atoms, fractional coordinates:
1 Tm 0.0000 0.1060 0.0606
2 Tm 0.0000 0.2441 0.7500
3 Ni 0.0000 0.0544 0.7500
4 B 0.0000 0.2726 0.0327
5 B 0.0000 0.3696 0.1511
6 B 0.0000 0.4588 0.7500
7 B 0.0000 0.4799 0.0930

---

Record 2
Density functional theory data (PBE-GGA) for a geometry-optimized TmNi6B structure.

energy of formation from the pure elements = -0.1742 eV/atom
total moment = 0.84 μB/cell

Cell: 3.5414 3.5414 7.9304 Å, 90.00 90.00 90.00°
Space group P4/mmm (No. 123)
Inequivalent atoms, fractional coordinates:
1 Tm 0.0000 0.0000 0.0000
2 Ni 0.0000 0.5000 0.3514
3 Ni 0.5000 0.5000 0.1473
4 B 0.0000 0.0000 0.5000

---

Record 3
Density functional theory data (PBE-GGA) for a geometry-optimized TmNi2B2 structure.

energy of formation from the pure elements = -0.4742 eV/atom
total moment = 0.00 μB/cell

Cell: 9.4485 3.2221 3.9189 Å, 90.00 103.59 90.00°
Space group C2/m (No. 12)
Inequivalent atoms, fractional coordinates:
1 Tm 0.0000 0.0000 0.0000
2 Ni 0.1631 0.5000 0.5893
3 B 0.2328 0.5000 0.1207

---

Record 4
Density functional theory data (PBE-GGA) for a geometry-optimized TmNi5B2 structure.

energy of formation from the pure elements = -0.4573 eV/atom
total moment = 0.00 μB/cell

Cell: 3.4683 6.1275 8.3597 Å, 90.00 90.00 90.00°
Space group Immm (No. 71)
Inequivalent atoms, fractional coordinates:
1 Tm 0.0000 0.0000 0.0000
2 Ni 0.0000 0.1931 0.3420
3 Ni 0.0000 0.5000 0.0000
4 B 0.0000 0.5000 0.2401

---

Record 5
Density functional theory data (PBE-GGA) for a geometry-optimized TmNi12B6 structure.

energy of formation from the pure elements = -0.3871 eV/atom
total moment = 0.00 μB/cell

Cell: 9.4922 9.4922 7.3457 Å, 90.00 90.00 120.00°
Space group R-3m (No. 166, hexagonal axes)
Inequivalent atoms, fractional coordinates:
1 Tm 0.0000 0.0000 0.0000
2 Ni 0.0000 0.3699 0.5000
3 Ni 0.0885 0.1770 0.3629
4 B 0.0424 0.5212 0.2844

---

Record 6
Density functional theory data (PBE-GGA) for a geometry-optimized TmNi12B4 structure.

energy of formation from the pure elements = -0.1421 eV/atom
total moment = 0.00 μB/cell

Cell: 7.2192 7.2192 7.2192 Å, 90.00 90.00 90.00°
Space group Im-3 (No. 204)
Inequivalent atoms, fractional coordinates:
1 Tm 0.0000 0.0000 0.0000
2 Ni 0.0000 0.1808 0.3317
3 B 0.2500 0.2500 0.2500

---

Record 7
Density functional theory data (PBE-GGA) for a geometry-optimized TmNi6B2 structure.

energy of formation from the pure elements = -0.1557 eV/atom
total moment = 0.00 μB/cell

Cell: 9.7603 9.7603 9.7603 Å, 90.00 90.00 90.00°
Space group Fd-3m (No. 227, origin choice 2)
Inequivalent atoms, fractional coordinates:
1 Tm 0.1250 0.1250 0.1250
2 Ni 0.0856 0.3750 0.8750
3 B 0.0000 0.0000 0.5000

---

Record 8
Density functional theory data (PBE-GGA) for a geometry-optimized Tm2Ni21B6 structure.

energy of formation from the pure elements = -0.3587 eV/atom
total moment = 0.09 μB/cell

Cell: 10.6531 10.6531 10.6531 Å, 90.00 90.00 90.00°
Space group Fm-3m (No. 225)
Inequivalent atoms, fractional coordinates:
1 Tm 0.2500 0.2500 0.2500
2 Ni 0.0000 0.0000 0.0000
3 Ni 0.0000 0.1685 0.1685
4 Ni 0.1125 0.1125 0.3875
5 B 0.0000 0.0000 0.2705